# Li2AcMnF8

Crystalline Li2AcMnF8 at its relaxed geometry (GGA+U, Alexandria via LeMat-Bulk). Values from VASP.

Output
Crystal system: trigonal
E, eV/cell: -65.880

Structure (Quantum ESPRESSO input):
```
&SYSTEM
  ibrav = 0, nat = 12, ntyp = 4
/
ATOMIC_SPECIES
F 19.00 F.upf
Li 6.94 Li.upf
Mn 54.94 Mn.upf
Ac 227.00 Ac.upf
ATOMIC_POSITIONS crystal
F 0.333 0.667 0.477
Li 0.333 0.667 0.742
F 0.848 0.152 0.182
Mn 0.000 0.000 0.000
Li 0.667 0.333 0.258
F 0.305 0.152 0.182
Ac 0.000 0.000 0.500
F 0.695 0.848 0.818
F 0.152 0.305 0.818
F 0.667 0.333 0.523
F 0.152 0.848 0.818
F 0.848 0.695 0.182
CELL_PARAMETERS angstrom
5.451 0.000 0.000
-2.725 4.721 0.000
0.000 0.000 6.825
```